[1]
Compound: BeW2
Source: Alexandria
Functional: PBE-GGA
Structure: optimized geometry

Symmetry   Cmcm
Polymorph energy (0 for the lowest one)   263.3 meV per atom
Calculated formation energy   0.14 eV/atom
M_tot   0.00 μB/atom
E_tot   -0.7159 Ry per atom
V   13.9 Å³/atom

Lattice parameters (Å, degrees): 6.3767 6.3767 4.2661 90.00 90.00 151.20
Sites, in units of the cell vectors:
Be 0.0984 0.9016 0.7500
Be 0.9016 0.0984 0.2500
W 0.2439 0.7561 0.2500
W 0.4353 0.5647 0.7500
W 0.5647 0.4353 0.2500
W 0.7561 0.2439 0.7500

[2]
Compound: BeW3
Source: Alexandria
Functional: PBE-GGA
Structure: optimized geometry

Symmetry   P4/mmm
Polymorph energy (0 for the lowest one)   150.0 meV per atom
Calculated formation energy   0.26 eV/atom
M_tot   0.00 μB/atom
E_tot   -0.7635 Ry per atom
V   14.7 Å³/atom

Lattice parameters (Å, degrees): 4.1496 4.1496 3.4138 90.00 90.00 90.00
Sites, in units of the cell vectors:
Be 0.0000 0.0000 0.0000
W 0.0000 0.5000 0.5000
W 0.5000 0.0000 0.5000
W 0.5000 0.5000 0.0000

[3]
Compound: BeW3
Source: Alexandria
Functional: PBE-GGA
Structure: optimized geometry

Symmetry   Fm-3m
Polymorph energy (0 for the lowest one)   222.8 meV per atom
Calculated formation energy   0.33 eV/atom
M_tot   0.00 μB/atom
E_tot   -0.7581 Ry per atom
V   14.8 Å³/atom

Lattice parameters (Å, degrees): 4.3727 4.3727 4.3727 60.00 60.00 60.00
Sites, in units of the cell vectors:
Be 0.0000 0.0000 0.0000
W 0.2500 0.2500 0.2500
W 0.5000 0.5000 0.5000
W 0.7500 0.7500 0.7500

[4]
Compound: BeW3
Source: Alexandria
Functional: PBE-GGA
Structure: optimized geometry

Symmetry   Pmmm
Polymorph energy (0 for the lowest one)   261.4 meV per atom
Calculated formation energy   0.37 eV/atom
M_tot   0.00 μB/atom
E_tot   -0.7553 Ry per atom
V   15.1 Å³/atom

Lattice parameters (Å, degrees): 2.6552 4.1100 5.5204 90.00 90.00 90.00
Sites, in units of the cell vectors:
Be 0.0000 0.0000 0.0000
W 0.0000 0.0000 0.5000
W 0.5000 0.5000 0.2344
W 0.5000 0.5000 0.7656

[5]
Compound: BeW2
Source: Alexandria
Functional: PBE-GGA
Structure: optimized geometry

Symmetry   I4/mmm
Polymorph energy (0 for the lowest one)   293.2 meV per atom
Calculated formation energy   0.17 eV/atom
M_tot   0.00 μB/atom
E_tot   -0.7137 Ry per atom
V   14.2 Å³/atom

Lattice parameters (Å, degrees): 4.6737 4.6737 4.6737 139.62 139.62 58.43
Sites, in units of the cell vectors:
Be 0.0000 0.0000 0.0000
W 0.3347 0.3347 0.0000
W 0.6653 0.6653 0.0000

[6]
Compound: Be5W
Source: Alexandria
Functional: PBE-GGA
Structure: optimized geometry

Symmetry   Cmmm
Polymorph energy (0 for the lowest one)   0.0 meV per atom
Calculated formation energy   -0.01 eV/atom
M_tot   0.00 μB/atom
E_tot   -0.3876 Ry per atom
V   9.5 Å³/atom

Lattice parameters (Å, degrees): 5.1716 5.1716 3.4627 90.00 90.00 141.85
Sites, in units of the cell vectors:
Be 0.0000 0.0000 0.0000
Be 0.1862 0.8138 0.5000
Be 0.3306 0.6694 0.0000
Be 0.6694 0.3306 0.0000
Be 0.8138 0.1862 0.5000
W 0.5000 0.5000 0.5000

[7]
Compound: Be3W
Source: Alexandria
Functional: PBE-GGA
Structure: optimized geometry

Symmetry   Fm-3m
Polymorph energy (0 for the lowest one)   582.5 meV per atom
Calculated formation energy   0.36 eV/atom
M_tot   0.23 μB/atom
E_tot   -0.4171 Ry per atom
V   10.4 Å³/atom

Lattice parameters (Å, degrees): 3.8918 3.8918 3.8918 60.00 60.00 60.00
Sites, in units of the cell vectors:
Be 0.0000 0.0000 0.0000
Be 0.2500 0.2500 0.2500
Be 0.7500 0.7500 0.7500
W 0.5000 0.5000 0.5000

[8]
Compound: Be3W
Source: Alexandria
Functional: PBE-GGA
Structure: optimized geometry

Symmetry   R-3m
Polymorph energy (0 for the lowest one)   399.6 meV per atom
Calculated formation energy   0.17 eV/atom
M_tot   0.00 μB/atom
E_tot   -0.4306 Ry per atom
V   11.0 Å³/atom

Lattice parameters (Å, degrees): 4.6110 4.6110 4.6110 116.88 116.88 116.88
Sites, in units of the cell vectors:
Be 0.0000 0.5000 0.5000
Be 0.5000 0.0000 0.5000
Be 0.5000 0.5000 0.0000
W 0.0000 0.0000 0.0000

[9]
Compound: Be2W
Source: Alexandria
Functional: PBE-GGA
Structure: optimized geometry

Symmetry   C2/m
Polymorph energy (0 for the lowest one)   430.5 meV per atom
Calculated formation energy   0.12 eV/atom
M_tot   0.00 μB/atom
E_tot   -0.4913 Ry per atom
V   11.2 Å³/atom

Lattice parameters (Å, degrees): 4.6695 4.6695 6.2285 110.52 110.52 32.06
Sites, in units of the cell vectors:
Be 0.0338 0.0338 0.2214
Be 0.3423 0.3423 0.9690
Be 0.6577 0.6577 0.0310
Be 0.9662 0.9662 0.7786
W 0.3425 0.3425 0.3841
W 0.6575 0.6575 0.6159

[10]
Compound: Be3W
Source: Alexandria
Functional: PBE-GGA
Structure: optimized geometry

Symmetry   Pm-3m
Polymorph energy (0 for the lowest one)   78.2 meV per atom
Calculated formation energy   -0.15 eV/atom
M_tot   0.00 μB/atom
E_tot   -0.4542 Ry per atom
V   10.1 Å³/atom

Lattice parameters (Å, degrees): 3.4342 3.4342 3.4342 90.00 90.00 90.00
Sites, in units of the cell vectors:
Be 0.0000 0.0000 0.5000
Be 0.0000 0.5000 0.0000
Be 0.5000 0.0000 0.0000
W 0.5000 0.5000 0.5000

[11]
Compound: Be2W
Source: Alexandria
Functional: PBE-GGA
Structure: optimized geometry

Symmetry   P-3m1
Polymorph energy (0 for the lowest one)   783.0 meV per atom
Calculated formation energy   0.47 eV/atom
M_tot   0.00 μB/atom
E_tot   -0.4654 Ry per atom
V   12.4 Å³/atom

Lattice parameters (Å, degrees): 2.6785 2.6785 5.9945 90.00 90.00 120.00
Sites, in units of the cell vectors:
Be 0.3333 0.6667 0.3475
Be 0.6667 0.3333 0.6525
W 0.0000 0.0000 0.0000

[12]
Compound: Be3W
Source: Alexandria
Functional: PBE-GGA
Structure: optimized geometry

Symmetry   P-6m2
Polymorph energy (0 for the lowest one)   589.5 meV per atom
Calculated formation energy   0.36 eV/atom
M_tot   0.00 μB/atom
E_tot   -0.4166 Ry per atom
V   11.5 Å³/atom

Lattice parameters (Å, degrees): 2.6403 2.6403 7.6358 90.00 90.00 120.00
Sites, in units of the cell vectors:
Be 0.0000 0.0000 0.0000
Be 0.3333 0.6667 0.2236
Be 0.3333 0.6667 0.7764
W 0.0000 0.0000 0.5000